This record from Alexandria describes an optimized crystal structure of Ca6Ga2Pb. The functional is GGA-PBE.

The structure in CIF format:
```
data_Ca6Ga2Pb
_chemical_formula_sum 'Ca24 Ga8 Pb4'
_cell_length_a 10.049
_cell_length_b 10.124
_cell_length_c 11.165
_cell_angle_alpha 90.00
_cell_angle_beta 90.00
_cell_angle_gamma 90.00
_symmetry_space_group_name_H-M 'I m m m'
_symmetry_Int_Tables_number 71
_symmetry_space_group_name_Hall '-I 2 2'
loop_
_atom_site_label
_atom_site_fract_x
_atom_site_fract_y
_atom_site_fract_z
Ca1 0.000 0.200 0.248
Ca2 0.192 0.500 0.169
Ca3 0.222 0.317 0.500
Ga1 0.000 0.335 0.000
Ga2 0.000 0.500 0.385
Pb1 0.000 0.000 0.000
Pb2 0.000 0.000 0.500
```

Results
The value obtained for the total DFT energy (no corrections) is -101.27 eV/cell. The formation energy comes out at -0.39 eV per atom.